Entry from Alexandria: a relaxed structure of InCoNi2O4 (GGA+U).

Calculated values
Electronic total energy (eV/atom): -4.881

```
8
Lattice="-0.796 -1.251 -2.843 3.080 -4.377 1.064 -3.445 -4.178 2.804" Properties=species:S:1:pos:R:3 pbc="T T T"
O -1.647 -5.073 2.694
O 1.281 -3.482 1.174
O -0.780 -1.761 -0.815
O -0.382 -8.045 1.839
In 1.142 -2.814 -0.890
Ni -0.183 -4.277 1.934
Ni -2.121 -2.715 -0.020
Co 0.000 0.000 0.000
```